1.
DFT (PBE) results for a relaxed structure of CrIrSe2.

Output
E above lowest polymorph: 0.609 eV/atom
raw formation energy: 1.518 eV per formula unit

a = 3.789 Å, b = 3.789 Å, c = 9.166 Å
α = 90.00°, β = 90.00°, γ = 90.00°
Space group I-4m2 (No. 119)
Unique sites:
Cr (0.000, 0.000, 0.000) [2 per cell]
Ir (0.000, 0.500, 0.750) [2 per cell]
Se (0.000, 0.000, 0.500) [2 per cell]
Se (0.000, 0.500, 0.250) [2 per cell]


2.
DFT (PBE) results for a relaxed structure of CrIrSe2.

Output
E above lowest polymorph: 0.319 eV/atom
raw formation energy: 0.357 eV per formula unit

a = 3.0045 Å, b = 3.0045 Å, c = 28.8055 Å
α = 90.00°, β = 90.00°, γ = 120.00°
Space group R3m (No. 160, hexagonal axes)
Unique sites:
Cr (0.0000, 0.0000, 0.0000) [3 per cell]
Ir (0.0000, 0.0000, 0.7400) [3 per cell]
Se (0.0000, 0.0000, 0.2768) [3 per cell]
Se (0.0000, 0.0000, 0.4723) [3 per cell]


3.
DFT (PBE) results for a relaxed structure of CrIr4Se.

Output
raw formation energy: 4.043 eV per formula unit

a = 7.365 Å, b = 7.365 Å, c = 7.365 Å
α = 90.00°, β = 90.00°, γ = 90.00°
Space group F-43m (No. 216)
Unique sites:
Cr (0.000, 0.000, 0.000) [4 per cell]
Ir (0.125, 0.125, 0.625) [16 per cell]
Se (0.250, 0.250, 0.250) [4 per cell]


4.
DFT (PBE) results for a relaxed structure of CrIrSe2.

Output
E above lowest polymorph: 0.414 eV/atom
raw formation energy: 0.736 eV per formula unit

a = 3.169 Å, b = 4.506 Å, c = 4.519 Å
α = 90.00°, β = 90.00°, γ = 90.00°
Space group Pmmm (No. 47)
Unique sites:
Cr (0.000, 0.000, 0.000) [1 per cell]
Ir (0.000, 0.500, 0.500) [1 per cell]
Se (0.500, 0.000, 0.500) [1 per cell]
Se (0.500, 0.500, 0.000) [1 per cell]


5.
DFT (PBE) results for a relaxed structure of CrIrSe2.

Output
E above lowest polymorph: 0.501 eV/atom
raw formation energy: 1.085 eV per formula unit

a = 5.661 Å, b = 7.118 Å, c = 7.297 Å
α = 90.00°, β = 90.00°, γ = 90.00°
Space group Fmmm (No. 69)
Unique sites:
Cr (0.000, 0.000, 0.000) [4 per cell]
Ir (0.000, 0.000, 0.500) [4 per cell]
Se (0.000, 0.250, 0.250) [8 per cell]


6.
DFT (PBE) results for a relaxed structure of CrIrSe2.

Output
E above lowest polymorph: 0.000 eV/atom
raw formation energy: -0.920 eV per formula unit

a = 3.899 Å, b = 3.900 Å, c = 6.112 Å
α = 90.00°, β = 90.27°, γ = 90.00°
Space group Pm (No. 6)
Unique sites:
Cr (0.000, 0.000, 0.000) [1 per cell]
Ir (0.500, 0.500, 0.000) [1 per cell]
Se (0.502, 0.000, 0.246) [1 per cell]
Se (0.998, 0.500, 0.754) [1 per cell]


7.
DFT (PBE) results for a relaxed structure of CrIr2Se6.

Output
raw formation energy: -2.521 eV per formula unit

a = 11.0778 Å, b = 11.0778 Å, c = 5.1205 Å
α = 90.00°, β = 90.00°, γ = 120.00°
Space group P-3m1 (No. 164)
Unique sites:
Cr (0.0000, 0.0000, 0.0000) [1 per cell]
Cr (0.3333, 0.6667, 0.4833) [2 per cell]
Ir (0.0000, 0.3355, 0.0000) [6 per cell]
Se (0.0960, 0.5480, 0.7244) [6 per cell]
Se (0.1132, 0.2263, 0.7421) [6 per cell]
Se (0.2177, 0.4353, 0.2603) [6 per cell]


8.
DFT (PBE) results for a relaxed structure of CrIrSe2.

Output
E above lowest polymorph: 0.871 eV/atom
raw formation energy: 2.563 eV per formula unit

a = 6.434 Å, b = 6.434 Å, c = 6.434 Å
α = 90.00°, β = 90.00°, γ = 90.00°
Space group F-43m (No. 216)
Unique sites:
Cr (0.000, 0.000, 0.000) [4 per cell]
Ir (0.250, 0.250, 0.750) [4 per cell]
Se (0.000, 0.000, 0.500) [4 per cell]
Se (0.250, 0.250, 0.250) [4 per cell]


9.
DFT (PBE) results for a relaxed structure of CrIrSe2.

Output
E above lowest polymorph: 0.359 eV/atom
raw formation energy: 0.517 eV per formula unit

a = 3.7853 Å, b = 3.7853 Å, c = 22.5362 Å
α = 90.00°, β = 90.00°, γ = 120.00°
Space group R-3m (No. 166, hexagonal axes)
Unique sites:
Cr (0.0000, 0.0000, 0.0000) [3 per cell]
Ir (0.0000, 0.0000, 0.5000) [3 per cell]
Se (0.0000, 0.0000, 0.1116) [6 per cell]


10.
DFT (PBE) results for a relaxed structure of CrIrSe2.

Output
E above lowest polymorph: 0.583 eV/atom
raw formation energy: 1.412 eV per formula unit

a = 3.094 Å, b = 3.094 Å, c = 6.266 Å
α = 90.00°, β = 90.00°, γ = 90.00°
Space group P4/mmm (No. 123)
Unique sites:
Cr (0.000, 0.000, 0.000) [1 per cell]
Ir (0.000, 0.000, 0.500) [1 per cell]
Se (0.500, 0.500, 0.230) [2 per cell]


11.
DFT (PBE) results for a relaxed structure of CrIrSe2.

Output
E above lowest polymorph: 0.006 eV/atom
raw formation energy: -0.894 eV per formula unit

a = 3.771 Å, b = 3.843 Å, c = 13.026 Å
α = 90.00°, β = 90.00°, γ = 90.00°
Space group Immm (No. 71)
Unique sites:
Cr (0.000, 0.000, 0.000) [2 per cell]
Ir (0.000, 0.000, 0.500) [2 per cell]
Se (0.000, 0.500, 0.128) [4 per cell]


12.
DFT (PBE) results for a relaxed structure of CrIrSe2.

Output
E above lowest polymorph: 0.478 eV/atom
raw formation energy: 0.994 eV per formula unit

a = 3.261 Å, b = 3.127 Å, c = 6.976 Å
α = 90.00°, β = 90.11°, γ = 90.00°
Space group P2/m (No. 10)
Unique sites:
Cr (0.000, 0.000, 0.000) [1 per cell]
Ir (0.500, 0.000, 0.500) [1 per cell]
Se (0.500, 0.500, 0.221) [2 per cell]


13.
DFT (PBE) results for a relaxed structure of CrIrSe2.

Output
E above lowest polymorph: 0.319 eV/atom
raw formation energy: 0.355 eV per formula unit

a = 4.547 Å, b = 4.547 Å, c = 14.696 Å
α = 90.00°, β = 90.00°, γ = 90.00°
Space group I-42d (No. 122)
Unique sites:
Cr (0.000, 0.000, 0.000) [4 per cell]
Ir (0.000, 0.000, 0.500) [4 per cell]
Se (0.248, 0.250, 0.125) [8 per cell]


14.
DFT (PBE) results for a relaxed structure of CrIrSe4.

Output
E above lowest polymorph: 1.510 eV/atom
raw formation energy: 7.083 eV per formula unit

a = 7.818 Å, b = 7.818 Å, c = 7.818 Å
α = 90.00°, β = 90.00°, γ = 90.00°
Space group F-43m (No. 216)
Unique sites:
Cr (0.000, 0.000, 0.000) [4 per cell]
Ir (0.250, 0.250, 0.750) [4 per cell]
Se (0.124, 0.124, 0.376) [16 per cell]


15.
DFT (PBE) results for a relaxed structure of CrIrSe2.

Output
E above lowest polymorph: 0.282 eV/atom
raw formation energy: 0.207 eV per formula unit

a = 3.0795 Å, b = 3.0795 Å, c = 23.9941 Å
α = 90.00°, β = 90.00°, γ = 120.00°
Space group R-3m (No. 166, hexagonal axes)
Unique sites:
Cr (0.0000, 0.0000, 0.0000) [3 per cell]
Ir (0.0000, 0.0000, 0.5000) [3 per cell]
Se (0.0000, 0.0000, 0.4007) [6 per cell]


16.
DFT (PBE) results for a relaxed structure of CrIrSe2.

Output
E above lowest polymorph: 0.232 eV/atom
raw formation energy: 0.007 eV per formula unit

a = 13.973 Å, b = 2.852 Å, c = 4.578 Å
α = 90.00°, β = 95.66°, γ = 90.00°
Space group C2/m (No. 12)
Unique sites:
Cr (0.000, 0.000, 0.000) [2 per cell]
Ir (0.000, 0.500, 0.500) [2 per cell]
Se (0.135, 0.500, 0.206) [4 per cell]


17.
DFT (PBE) results for a relaxed structure of Cr2SiIrSe.

Output
raw formation energy: 5.122 eV per formula unit

a = 4.352 Å, b = 4.352 Å, c = 4.421 Å
α = 90.00°, β = 90.00°, γ = 90.00°
Space group P4/mmm (No. 123)
Unique sites:
Cr (0.000, 0.500, 0.000) [2 per cell]
Si (0.000, 0.000, 0.000) [1 per cell]
Ir (0.000, 0.000, 0.500) [1 per cell]
Se (0.500, 0.500, 0.500) [1 per cell]


18.
DFT (PBE) results for a relaxed structure of ZnCrIr2Se.

Output
raw formation energy: 5.633 eV per formula unit

a = 4.623 Å, b = 4.623 Å, c = 4.608 Å
α = 90.00°, β = 90.00°, γ = 90.00°
Space group P4/mmm (No. 123)
Unique sites:
Zn (0.000, 0.000, 0.000) [1 per cell]
Cr (0.500, 0.500, 0.000) [1 per cell]
Ir (0.000, 0.500, 0.500) [2 per cell]
Se (0.000, 0.000, 0.500) [1 per cell]


19.
DFT (PBE) results for a relaxed structure of Cr2SiIr.

Output
raw formation energy: -1.081 eV per formula unit

a = 5.883 Å, b = 5.883 Å, c = 5.883 Å
α = 90.00°, β = 90.00°, γ = 90.00°
Space group F-43m (No. 216)
Unique sites:
Cr (0.000, 0.000, 0.000) [4 per cell]
Cr (0.250, 0.250, 0.250) [4 per cell]
Si (0.000, 0.000, 0.500) [4 per cell]
Ir (0.250, 0.250, 0.750) [4 per cell]


20.
DFT (PBE) results for a relaxed structure of CrSiIr2.

Output
raw formation energy: -0.985 eV per formula unit

a = 3.737 Å, b = 3.737 Å, c = 7.762 Å
α = 90.00°, β = 90.00°, γ = 90.00°
Space group I-4m2 (No. 119)
Unique sites:
Cr (0.000, 0.000, 0.000) [2 per cell]
Si (0.000, 0.500, 0.250) [2 per cell]
Ir (0.000, 0.000, 0.500) [2 per cell]
Ir (0.000, 0.500, 0.750) [2 per cell]


21.
DFT (PBE) results for a relaxed structure of CrSiIr2.

Output
raw formation energy: -1.024 eV per formula unit

a = 2.795 Å, b = 3.741 Å, c = 5.258 Å
α = 90.00°, β = 90.00°, γ = 90.00°
Space group Pmm2 (No. 25)
Unique sites:
Cr (0.000, 0.000, 0.000) [1 per cell]
Si (0.500, 0.500, 0.708) [1 per cell]
Ir (0.000, 0.000, 0.522) [1 per cell]
Ir (0.500, 0.500, 0.184) [1 per cell]


22.
DFT (PBE) results for a relaxed structure of CrSi3Ir.

Output
E above lowest polymorph: 0.000 eV/atom
raw formation energy: 3.691 eV per formula unit

a = 4.653 Å, b = 4.653 Å, c = 4.653 Å
α = 90.00°, β = 90.00°, γ = 90.00°
Space group Pm-3m (No. 221)
Unique sites:
Cr (0.000, 0.000, 0.000) [1 per cell]
Si (0.000, 0.500, 0.500) [3 per cell]
Ir (0.500, 0.500, 0.500) [1 per cell]


23.
DFT (PBE) results for a relaxed structure of Cr2Si2Ir.

Output
raw formation energy: -1.274 eV per formula unit

a = 6.081 Å, b = 6.081 Å, c = 3.630 Å
α = 90.00°, β = 90.00°, γ = 90.00°
Space group P4/mbm (No. 127)
Unique sites:
Cr (0.163, 0.337, 0.000) [4 per cell]
Si (0.137, 0.637, 0.500) [4 per cell]
Ir (0.000, 0.000, 0.500) [2 per cell]


24.
DFT (PBE) results for a relaxed structure of Cr2SiIr.

Output
raw formation energy: -0.984 eV per formula unit

a = 8.531 Å, b = 2.844 Å, c = 4.482 Å
α = 90.00°, β = 107.23°, γ = 90.00°
Space group Cm (No. 8)
Unique sites:
Cr (0.000, 0.000, 0.000) [2 per cell]
Cr (0.236, 0.500, 0.127) [2 per cell]
Si (0.249, 0.000, 0.654) [2 per cell]
Ir (0.005, 0.500, 0.505) [2 per cell]


25.
DFT (PBE) results for a relaxed structure of CrSiIr2.

Output
raw formation energy: -1.159 eV per formula unit

a = 2.804 Å, b = 4.275 Å, c = 8.856 Å
α = 90.00°, β = 90.00°, γ = 90.00°
Space group Imm2 (No. 44)
Unique sites:
Cr (0.000, 0.000, 0.000) [2 per cell]
Si (0.000, 0.500, 0.280) [2 per cell]
Ir (0.000, 0.000, 0.560) [2 per cell]
Ir (0.000, 0.500, 0.771) [2 per cell]


26.
DFT (PBE) results for a relaxed structure of Cr2SiIr.

Output
raw formation energy: -0.735 eV per formula unit

a = 3.488 Å, b = 3.488 Å, c = 4.146 Å
α = 90.00°, β = 90.00°, γ = 90.00°
Space group P4/mmm (No. 123)
Unique sites:
Cr (0.000, 0.500, 0.000) [2 per cell]
Si (0.000, 0.000, 0.500) [1 per cell]
Ir (0.500, 0.500, 0.500) [1 per cell]


27.
DFT (PBE) results for a relaxed structure of Cr2SiIr.

Output
raw formation energy: -1.137 eV per formula unit

a = 2.894 Å, b = 4.039 Å, c = 8.454 Å
α = 90.00°, β = 90.00°, γ = 90.00°
Space group Immm (No. 71)
Unique sites:
Cr (0.000, 0.000, 0.238) [4 per cell]
Si (0.000, 0.500, 0.500) [2 per cell]
Ir (0.000, 0.500, 0.000) [2 per cell]


28.
DFT (PBE) results for a relaxed structure of CrSiIr2.

Output
raw formation energy: -1.043 eV per formula unit

a = 2.778 Å, b = 3.530 Å, c = 5.507 Å
α = 90.00°, β = 90.00°, γ = 90.00°
Space group Pmmm (No. 47)
Unique sites:
Cr (0.000, 0.000, 0.000) [1 per cell]
Si (0.000, 0.000, 0.500) [1 per cell]
Ir (0.500, 0.500, 0.252) [2 per cell]


Computed E_tot (eV/atom) in order:
-5.9840; -6.2741; -7.4182; -6.1793; -6.0921; -6.5933; -5.6415; -5.7226; -6.2341; -6.0104; -6.5869; -6.1149; -6.2745; -4.2232; -6.3115; -6.3615; -6.3786; -5.2942; -8.6529; -8.4383; -8.4481; -6.2126; -8.0456; -8.6288; -8.4819; -8.5663; -8.6668; -8.4529